{"formula": "Nd2InNi9", "functional": "PBE-GGA", "state": "optimized geometry", "cell": [[2.481, 1.433, 8.251], [-2.481, 1.433, 8.251], [0.000, -2.865, 8.251]], "species": ["Nd", "Nd", "In", "Ni", "Ni", "Ni", "Ni", "Ni", "Ni", "Ni", "Ni", "Ni"], "fractional_positions": [[0.136, 0.136, 0.136], [0.864, 0.864, 0.864], [0.000, 0.000, 0.000], [0.081, 0.580, 0.580], [0.333, 0.333, 0.333], [0.420, 0.420, 0.919], [0.420, 0.919, 0.420], [0.500, 0.500, 0.500], [0.580, 0.081, 0.580], [0.580, 0.580, 0.081], [0.667, 0.667, 0.667], [0.919, 0.420, 0.420]], "m_tot_mub_per_fu": 1.0, "mass_density_g_cm3": 8.79, "e_tot_ev_per_cell": -66.54, "formation_enthalpy_0k_kcal_per_mol_atoms": -4.3, "crystal_system": "trigonal"}